(1)
SrPm4Pt4: optimized geometry, PBE.

Geometry as CIF:
```
data_SrPm4Pt4
_chemical_formula_sum 'Sr2 Pm8 Pt8'
_space_group_name_H-M_alt 'P 42/n'
_space_group_IT_number 86
_cell_length_a 9.5018
_cell_length_b 9.5018
_cell_length_c 5.8274
_cell_angle_alpha 90.00
_cell_angle_beta 90.00
_cell_angle_gamma 90.00
loop_
_space_group_symop_operation_xyz
'x,y,z'
'-x,-y,-z'
'-y,x+1/2,z+1/2'
'y,-x+1/2,-z+1/2'
'-x+1/2,-y+1/2,z'
'x+1/2,y+1/2,-z'
'y+1/2,-x,z+1/2'
'-y+1/2,x,-z+1/2'
loop_
_atom_site_label
_atom_site_type_symbol
_atom_site_fract_x
_atom_site_fract_y
_atom_site_fract_z
Sr1 Sr 0.2500 0.2500 0.2500
Pm1 Pm 0.0856 0.6444 0.1791
Pt1 Pt 0.0530 0.6192 0.6790
```

Values from the calculation:
Density of states at the Fermi level in states/eV/atom: 0.605



(2)
SrPmTlPt: optimized geometry, PBE.

Geometry as CIF:
```
data_SrPmTlPt
_chemical_formula_sum 'Sr4 Pm4 Tl4 Pt4'
_space_group_name_H-M_alt 'F -4 3 m'
_space_group_IT_number 216
_space_group_name_Hall 'F -4 2 3'
_cell_length_a 7.5797
_cell_length_b 7.5797
_cell_length_c 7.5797
_cell_angle_alpha 90.00
_cell_angle_beta 90.00
_cell_angle_gamma 90.00
loop_
_atom_site_label
_atom_site_type_symbol
_atom_site_fract_x
_atom_site_fract_y
_atom_site_fract_z
Sr1 Sr 0.0000 0.0000 0.0000
Pm1 Pm 0.0000 0.0000 0.5000
Tl1 Tl 0.2500 0.2500 0.7500
Pt1 Pt 0.2500 0.2500 0.2500
```

Values from the calculation:
Density of states at the Fermi level in states/eV/atom: 0.718



(3)
SrPmZn2Pt2: optimized geometry, PBE.

Geometry as CIF:
```
data_SrPmZn2Pt2
_chemical_formula_sum 'Sr1 Pm1 Zn2 Pt2'
_space_group_name_H-M_alt 'P -3 m 1'
_space_group_IT_number 164
_space_group_name_Hall '-P 3 2"'
_cell_length_a 4.4370
_cell_length_b 4.4370
_cell_length_c 8.0414
_cell_angle_alpha 90.00
_cell_angle_beta 90.00
_cell_angle_gamma 120.00
loop_
_atom_site_label
_atom_site_type_symbol
_atom_site_fract_x
_atom_site_fract_y
_atom_site_fract_z
Sr1 Sr 0.0000 0.0000 0.0000
Pm1 Pm 0.0000 0.0000 0.5000
Zn1 Zn 0.3333 0.6667 0.7309
Pt1 Pt 0.3333 0.6667 0.2803
```

Values from the calculation:
Density of states at the Fermi level in states/eV/atom: 0.787



Number 1: E_form -956 meV/atom, calculated density 9.14 g cm⁻³. Number 2: E_form -533 meV/atom, calculated density 9.64 g cm⁻³. Number 3: E_form -800 meV/atom, calculated density 9.13 g cm⁻³.